(1)
# KO3F PBE relaxed
# E_tot = -2.6601 eV/atom
# DOS(E_F) = 1.869 states/eV/atom
# uncorrected formation energy = 0.909 eV/atom
data_KO3F
_cell_length_a 5.3917
_cell_length_b 5.3917
_cell_length_c 5.3917
_cell_angle_alpha 90.00
_cell_angle_beta 90.00
_cell_angle_gamma 90.00
_space_group_name_H-M_alt 'P m -3 m'
_space_group_IT_number 221
_space_group_name_Hall '-P 4 2 3'
loop_
_atom_site_label
_atom_site_fract_x
_atom_site_fract_y
_atom_site_fract_z
_atom_site_occupancy
K1 0.0000 0.0000 0.0000 1
O1 0.0000 0.0000 0.5000 1
F1 0.5000 0.5000 0.5000 1

(2)
# Rb3Bi2I9 PBE relaxed
# E_tot = -2.6786 eV/atom
# DOS(E_F) = 0.000 states/eV/atom
# uncorrected formation energy = -0.920 eV/atom
# offset from the most stable computed form = 0.001 eV per atom
data_Rb3Bi2I9
_cell_length_a 15.0237
_cell_length_b 8.4504
_cell_length_c 25.7251
_cell_angle_alpha 90.00
_cell_angle_beta 122.95
_cell_angle_gamma 90.00
_space_group_name_H-M_alt 'P 1 c 1'
_space_group_IT_number 7
loop_
_space_group_symop_operation_xyz
'x,y,z'
'x,-y,z+1/2'
loop_
_atom_site_label
_atom_site_fract_x
_atom_site_fract_y
_atom_site_fract_z
_atom_site_occupancy
Rb1 0.0000 0.2233 0.0000 1
Rb2 0.0629 0.2769 0.7872 1
Rb3 0.3401 0.2237 0.6738 1
Rb4 0.3938 0.2745 0.4490 1
Rb5 0.6695 0.2250 0.3388 1
Rb6 0.7227 0.2772 0.1135 1
Bi1 0.2009 0.2501 0.2334 1
Bi2 0.3605 0.2357 0.0547 1
Bi3 0.7023 0.2642 0.7328 1
Bi4 0.8625 0.2496 0.5544 1
I1 0.0853 0.0596 0.6455 1
I2 0.1196 0.1681 0.3133 1
I3 0.1895 0.4373 0.9535 1
I4 0.2245 0.0518 0.5127 1
I5 0.2657 0.3502 0.1364 1
I6 0.3081 0.4557 0.8053 1
I7 0.3991 0.0585 0.3092 1
I8 0.4542 0.1639 0.9806 1
I9 0.5110 0.4429 0.6094 1
I10 0.5515 0.0569 0.1782 1
I11 0.6087 0.3365 0.8069 1
I12 0.6642 0.4409 0.4785 1
I13 0.7555 0.0448 0.9825 1
I14 0.7969 0.1490 0.6510 1
I15 0.8384 0.4484 0.2747 1
I16 0.8734 0.0625 0.8340 1
I17 0.9440 0.3315 0.4746 1
I18 0.9780 0.4407 0.1424 1

(3)
# ZrFeNi2 PBE relaxed
# E_tot = -7.3211 eV/atom
# DOS(E_F) = 1.170 states/eV/atom
data_ZrFeNi2
_cell_length_a 3.7305
_cell_length_b 3.7305
_cell_length_c 7.8739
_cell_angle_alpha 90.00
_cell_angle_beta 90.00
_cell_angle_gamma 90.00
_space_group_name_H-M_alt 'I -4 m 2'
_space_group_IT_number 119
_space_group_name_Hall 'I -4 -2'
loop_
_atom_site_label
_atom_site_fract_x
_atom_site_fract_y
_atom_site_fract_z
_atom_site_occupancy
Zr1 0.0000 0.0000 0.0000 1
Fe1 0.0000 0.5000 0.2500 1
Ni1 0.0000 0.0000 0.5000 1
Ni2 0.0000 0.5000 0.7500 1

(4)
# Sr2Cd4HgGe3 PBE relaxed
# E_tot = -2.4029 eV/atom
# DOS(E_F) = 0.091 states/eV/atom
data_Sr2Cd4HgGe3
_cell_length_a 4.5894
_cell_length_b 4.5894
_cell_length_c 11.9688
_cell_angle_alpha 90.00
_cell_angle_beta 90.00
_cell_angle_gamma 90.00
_space_group_name_H-M_alt 'P -4 m 2'
_space_group_IT_number 115
loop_
_space_group_symop_operation_xyz
'x,y,z'
'y,-x,-z'
'-x,-y,z'
'-y,x,-z'
'-x,y,z'
'-y,-x,-z'
'x,-y,z'
'y,x,-z'
loop_
_atom_site_label
_atom_site_fract_x
_atom_site_fract_y
_atom_site_fract_z
_atom_site_occupancy
Sr1 0.0000 0.5000 0.2438 1
Cd1 0.0000 0.0000 0.0000 1
Cd2 0.0000 0.5000 0.6415 1
Cd3 0.5000 0.5000 0.0000 1
Hg1 0.0000 0.0000 0.5000 1
Ge1 0.0000 0.5000 0.8633 1
Ge2 0.5000 0.5000 0.5000 1

(5)
# KAu2Cl PBE relaxed
# E_tot = -2.8082 eV/atom
# DOS(E_F) = 0.266 states/eV/atom
# uncorrected formation energy = -0.433 eV/atom
# offset from the most stable computed form = 0.144 eV per atom
data_KAu2Cl
_cell_length_a 8.5799
_cell_length_b 4.0237
_cell_length_c 7.3453
_cell_angle_alpha 90.00
_cell_angle_beta 113.89
_cell_angle_gamma 90.00
_space_group_name_H-M_alt 'C 1 m 1'
_space_group_IT_number 8
loop_
_space_group_symop_operation_xyz
'x,y,z'
'x,-y,z'
'x+1/2,y+1/2,z'
'x+1/2,-y+1/2,z'
loop_
_atom_site_label
_atom_site_fract_x
_atom_site_fract_y
_atom_site_fract_z
_atom_site_occupancy
K1 0.0000 0.0000 0.0000 1
Au1 0.1784 0.0000 0.6348 1
Au2 0.4495 0.0000 0.5409 1
Cl1 0.2745 0.5000 0.2280 1

(6)
# NaPr2Er PBE relaxed
# E_tot = -3.6773 eV/atom
# DOS(E_F) = 1.191 states/eV/atom
# offset from the most stable computed form = 0.089 eV per atom
data_NaPr2Er
_cell_length_a 5.9843
_cell_length_b 5.9843
_cell_length_c 3.7746
_cell_angle_alpha 90.00
_cell_angle_beta 90.00
_cell_angle_gamma 90.00
_space_group_name_H-M_alt 'P 4/m m m'
_space_group_IT_number 123
_space_group_name_Hall '-P 4 2'
loop_
_atom_site_label
_atom_site_fract_x
_atom_site_fract_y
_atom_site_fract_z
_atom_site_occupancy
Na1 0.0000 0.0000 0.0000 1
Pr1 0.0000 0.5000 0.5000 1
Er1 0.5000 0.5000 0.0000 1

(7)
# InTcIr2 PBE relaxed
# E_tot = -7.4689 eV/atom
# DOS(E_F) = 1.157 states/eV/atom
data_InTcIr2
_cell_length_a 4.0841
_cell_length_b 4.0841
_cell_length_c 3.8438
_cell_angle_alpha 90.00
_cell_angle_beta 90.00
_cell_angle_gamma 90.00
_space_group_name_H-M_alt 'P 4/m m m'
_space_group_IT_number 123
_space_group_name_Hall '-P 4 2'
loop_
_atom_site_label
_atom_site_fract_x
_atom_site_fract_y
_atom_site_fract_z
_atom_site_occupancy
In1 0.0000 0.0000 0.0000 1
Tc1 0.5000 0.5000 0.0000 1
Ir1 0.0000 0.5000 0.5000 1

(8)
# AlNiP2 PBE relaxed
# E_tot = -5.2753 eV/atom
# DOS(E_F) = 0.266 states/eV/atom
data_AlNiP2
_cell_length_a 4.1100
_cell_length_b 3.4021
_cell_length_c 4.5019
_cell_angle_alpha 90.00
_cell_angle_beta 106.00
_cell_angle_gamma 90.00
_space_group_name_H-M_alt 'P 1 2/m 1'
_space_group_IT_number 10
loop_
_space_group_symop_operation_xyz
'x,y,z'
'-x,-y,-z'
'-x,y,-z'
'x,-y,z'
loop_
_atom_site_label
_atom_site_fract_x
_atom_site_fract_y
_atom_site_fract_z
_atom_site_occupancy
Al1 0.0000 0.0000 0.0000 1
Ni1 0.5000 0.0000 0.5000 1
P1 0.2428 0.5000 0.6771 1

(9)
# Ca2AgPt PBE relaxed
# E_tot = -3.6299 eV/atom
# DOS(E_F) = 0.619 states/eV/atom
data_Ca2AgPt
_cell_length_a 4.1200
_cell_length_b 4.1200
_cell_length_c 6.0793
_cell_angle_alpha 90.00
_cell_angle_beta 90.00
_cell_angle_gamma 90.00
_space_group_name_H-M_alt 'P 4 m m'
_space_group_IT_number 99
loop_
_space_group_symop_operation_xyz
'x,y,z'
'-y,x,z'
'-x,-y,z'
'y,-x,z'
'-x,y,z'
'y,x,z'
'x,-y,z'
'-y,-x,z'
loop_
_atom_site_label
_atom_site_fract_x
_atom_site_fract_y
_atom_site_fract_z
_atom_site_occupancy
Ca1 0.0000 0.0000 0.0000 1
Ca2 0.5000 0.5000 0.3960 1
Ag1 0.5000 0.5000 0.8723 1
Pt1 0.0000 0.0000 0.4932 1

(10)
# AgRhBr2 PBE relaxed
# E_tot = -3.1881 eV/atom
# DOS(E_F) = 0.701 states/eV/atom
# uncorrected formation energy = 0.199 eV/atom
# offset from the most stable computed form = 0.279 eV per atom
data_AgRhBr2
_cell_length_a 6.0485
_cell_length_b 6.0485
_cell_length_c 12.5180
_cell_angle_alpha 90.00
_cell_angle_beta 90.00
_cell_angle_gamma 90.00
_space_group_name_H-M_alt 'I -4 2 d'
_space_group_IT_number 122
_space_group_name_Hall 'I -4 2bw'
loop_
_atom_site_label
_atom_site_fract_x
_atom_site_fract_y
_atom_site_fract_z
_atom_site_occupancy
Ag1 0.0000 0.0000 0.0000 1
Rh1 0.0000 0.0000 0.5000 1
Br1 0.2281 0.2500 0.6250 1

(11)
# Y2OF PBE relaxed
# E_tot = -6.7025 eV/atom
# DOS(E_F) = 0.606 states/eV/atom
# uncorrected formation energy = -1.763 eV/atom
# offset from the most stable computed form = 0.730 eV per atom
data_Y2OF
_cell_length_a 6.1464
_cell_length_b 6.1464
_cell_length_c 6.1464
_cell_angle_alpha 90.00
_cell_angle_beta 90.00
_cell_angle_gamma 90.00
_space_group_name_H-M_alt 'F m -3 m'
_space_group_IT_number 225
_space_group_name_Hall '-F 4 2 3'
loop_
_atom_site_label
_atom_site_fract_x
_atom_site_fract_y
_atom_site_fract_z
_atom_site_occupancy
Y1 0.2500 0.2500 0.2500 1
O1 0.0000 0.0000 0.0000 1
F1 0.0000 0.0000 0.5000 1

(12)
# Ac5Pt2Au2 PBE relaxed
# E_tot = -5.2444 eV/atom
# DOS(E_F) = 0.592 states/eV/atom
data_Ac5Pt2Au2
_cell_length_a 4.4711
_cell_length_b 7.6907
_cell_length_c 9.9811
_cell_angle_alpha 75.98
_cell_angle_beta 77.08
_cell_angle_gamma 73.14
_space_group_name_H-M_alt 'P -1'
_space_group_IT_number 2
loop_
_space_group_symop_operation_xyz
'x,y,z'
'-x,-y,-z'
loop_
_atom_site_label
_atom_site_fract_x
_atom_site_fract_y
_atom_site_fract_z
_atom_site_occupancy
Ac1 0.0000 0.0000 0.0000 1
Ac2 0.2043 0.3806 0.2109 1
Ac3 0.3912 0.8175 0.4021 1
Pt1 0.1985 0.9046 0.6978 1
Au1 0.3974 0.3101 0.8951 1